! BaZr2BeBr, optimized geometry, DFT GGA-PBE; values from VASP
! Total magnetization: 0.00 μB/cell
! D(E_F): 5.47 states/eV/cell
! V: 146.1 Å³ per cell
! Uncorrected formation energy: 1842.4 meV per atom
&SYSTEM
  ibrav = 0, nat = 5, ntyp = 4
/
ATOMIC_SPECIES
Ba 137.33 Ba.upf
Zr 91.22 Zr.upf
Be 9.01 Be.upf
Br 79.90 Br.upf
CELL_PARAMETERS angstrom
5.531 0.000 0.000
0.000 5.531 0.000
0.000 0.000 4.776
ATOMIC_POSITIONS angstrom
Ba 0.000 0.000 0.000
Zr 0.000 2.765 0.000
Zr 2.765 0.000 0.000
Be 0.000 0.000 2.388
Br 2.765 2.765 2.388


! RbNaY2Cl8, optimized geometry, DFT GGA-PBE; values from VASP
! Total magnetization: 0.00 μB/cell
! D(E_F): 0.00 states/eV/cell
! V: 396.8 Å³ per cell
! Uncorrected formation energy: -2130.3 meV per atom
&SYSTEM
  ibrav = 0, nat = 12, ntyp = 4
/
ATOMIC_SPECIES
Rb 85.47 Rb.upf
Na 22.99 Na.upf
Y 88.91 Y.upf
Cl 35.45 Cl.upf
CELL_PARAMETERS angstrom
6.827 0.000 0.000
0.000 8.356 0.000
-0.535 0.000 6.955
ATOMIC_POSITIONS angstrom
Rb 0.000 0.000 0.000
Na 0.000 4.178 0.000
Y 3.146 2.140 3.478
Y 3.146 6.215 3.478
Cl 1.533 2.308 1.452
Cl 1.533 6.047 1.452
Cl 1.743 4.178 4.604
Cl 1.800 0.000 4.518
Cl 4.492 0.000 2.437
Cl 4.550 4.178 2.351
Cl 4.759 2.308 5.504
Cl 4.759 6.047 5.504


Question: Among the records above, which one has the highest D(E_F)?
Answer: BaZr2BeBr


Question: Which value of total magnetization does entry 1 give?
Answer: 0.00 μB/cell


Question: Among the records above, which one has the highest V?
Answer: RbNaY2Cl8